The following is a DFT calculation (GGA-PBE) of crystalline LaTaSb2I at its relaxed geometry.

abc: 5.8392 5.8392 4.9966
angles: 90.00 90.00 90.00
Closest atoms and distances in Å follow each position.
Atoms (fractional coordinates):
La (0.0000, 0.0000, 0.0000)  8 Sb 3.84, 4 Ta 4.13
Ta (0.5000, 0.5000, 0.0000)  2 I 2.50
Sb (0.0000, 0.5000, 0.5000)  2 I 2.92
Sb (0.5000, 0.0000, 0.5000)  2 I 2.92
I (0.5000, 0.5000, 0.5000)  2 Ta 2.50

Properties
**Size of the total moment**: 0.9 μB/f.u.
**Symmetry**: P4/mmm, No. 123
**Formation energy (no corrections)**: 0.974 eV per atom
**Energy above the lowest structure with this stoichiometry**: 95.2 kJ per mole of atoms

The following is a DFT calculation (GGA-PBE) of crystalline ReAgO6 at its relaxed geometry.

abc: 5.6881 5.6881 5.6881
angles: 60.00 60.00 60.00
Closest atoms and distances in Å follow each position.
Atoms (fractional coordinates):
Re (0.0000, 0.0000, 0.0000)  6 O 1.87
Ag (0.5000, 0.5000, 0.5000)  6 O 2.16
O (0.2320, 0.2320, 0.7680)  1 Re 1.87
O (0.2320, 0.7680, 0.2320)  1 Re 1.87
O (0.2320, 0.7680, 0.7680)  1 Re 1.87
O (0.7680, 0.2320, 0.2320)  1 Re 1.87
O (0.7680, 0.2320, 0.7680)  1 Re 1.87
O (0.7680, 0.7680, 0.2320)  1 Re 1.87

Properties
**Size of the total moment**: 2.7 μB/f.u.
**Symmetry**: Fm-3m, No. 225
**Formation energy (no corrections)**: -0.336 eV per atom

The following is a DFT calculation (GGA-PBE) of crystalline KPt at its relaxed geometry.

abc: 5.2813 5.2813 5.2813
angles: 60.00 60.00 60.00
Closest atoms and distances in Å follow each position.
Atoms (fractional coordinates):
K (0.0000, 0.0000, 0.0000)  4 Pt 3.23
Pt (0.2500, 0.2500, 0.2500)  4 K 3.23

Properties
**Size of the total moment**: 1.0 μB/f.u.
**Symmetry**: F-43m, No. 216
**DFT formation energy**: 27.14 kcal/mol of atoms

The following is a DFT calculation (GGA-PBE) of crystalline MgSc4Zn at its relaxed geometry.

abc: 4.6804 4.6804 8.5866
angles: 105.94 105.94 59.52
Closest atoms and distances in Å follow each position.
Atoms (fractional coordinates):
Mg (0.0000, 0.0000, 0.0000)  8 Sc 2.99-3.19
Sc (0.1308, 0.1308, 0.3917)  3 Zn 2.83-2.85
Sc (0.3849, 0.3849, 0.1594)  1 Zn 2.77, 3 Mg 2.99
Sc (0.6151, 0.6151, 0.8406)  1 Zn 2.77, 3 Mg 2.99
Sc (0.8692, 0.8692, 0.6083)  3 Zn 2.83-2.85
Zn (0.5000, 0.5000, 0.5000)  8 Sc 2.77-2.85

Properties
**Size of the total moment**: 0.0 μB/f.u.
**Symmetry**: C2/m, No. 12
**Energy above the lowest structure with this stoichiometry**: 39.5 kJ per mole of atoms
**DFT formation energy**: 6.60 kcal/mol of atoms

The following is a DFT calculation (GGA-PBE) of crystalline Zn2IrBr at its relaxed geometry.

abc: 3.2463 3.6738 7.1284
angles: 90.00 90.32 90.00
Closest atoms and distances in Å follow each position.
Atoms (fractional coordinates):
Zn (0.0000, 0.0000, 0.0000)  4 Ir 2.54, 1 Br 2.83
Zn (0.0041, 0.5000, 0.3643)  2 Br 2.50, 2 Ir 2.53
Ir (0.5012, 0.5000, 0.0920)  6 Zn 2.53-2.54
Br (0.0145, 0.0000, 0.6030)  2 Zn 2.50

Properties
**Size of the total moment**: 0.0 μB/f.u.
**Symmetry**: Pm, No. 6
**Formation energy (no corrections)**: -0.028 eV per atom
**Energy above the lowest structure with this stoichiometry**: 5.1 kJ per mole of atoms

The following is a DFT calculation (GGA-PBE) of crystalline K2BiPd2 at its relaxed geometry.

abc: 7.1262 7.1262 5.5217
angles: 90.00 90.00 90.00
Closest atoms and distances in Å follow each position.
Atoms (fractional coordinates):
K (0.1754, 0.3246, 0.0000)  6 Pd 3.36-3.55, 5 K 3.54-3.72
K (0.3246, 0.8246, 0.0000)  6 Pd 3.36-3.55, 5 K 3.54-3.72
K (0.6754, 0.1754, 0.0000)  6 Pd 3.36-3.55, 5 K 3.54-3.72
K (0.8246, 0.6754, 0.0000)  6 Pd 3.36-3.55, 5 K 3.54-3.72
Bi (0.0000, 0.0000, 0.5000)  4 Pd 2.78
Bi (0.5000, 0.5000, 0.5000)  4 Pd 2.78
Pd (0.1341, 0.6341, 0.5000)  1 Pd 2.70, 2 Bi 2.78
Pd (0.3659, 0.1341, 0.5000)  1 Pd 2.70, 2 Bi 2.78
Pd (0.6341, 0.8659, 0.5000)  1 Pd 2.70, 2 Bi 2.78
Pd (0.8659, 0.3659, 0.5000)  1 Pd 2.70, 2 Bi 2.78

Properties
**Size of the total moment**: 0.0 μB/f.u.
**Symmetry**: P4/mbm, No. 127
**Energy above the lowest structure with this stoichiometry**: 7.6 kJ per mole of atoms
**DFT formation energy**: -3.63 kcal/mol of atoms

The following is a DFT calculation (GGA-PBE) of crystalline AlTc2Ag at its relaxed geometry.

abc: 9.3441 9.3441 9.3441
angles: 17.08 17.08 17.08
Closest atoms and distances in Å follow each position.
Atoms (fractional coordinates):
Al (0.0000, 0.0000, 0.0000)  6 Tc 2.68, 6 Al 2.77
Tc (0.2554, 0.2554, 0.2554)  3 Al 2.68, 6 Tc 2.77, 3 Ag 2.93
Tc (0.7446, 0.7446, 0.7446)  3 Al 2.68, 6 Tc 2.77, 3 Ag 2.93
Ag (0.5000, 0.5000, 0.5000)  6 Ag 2.77, 6 Tc 2.93

Properties
**Size of the total moment**: 0.0 μB/f.u.
**Symmetry**: R-3m, No. 166
**DFT formation energy**: 4.19 kcal/mol of atoms

The following is a DFT calculation (GGA-PBE) of crystalline SrBeCd at its relaxed geometry.

abc: 4.4588 4.4588 4.5133
angles: 90.00 90.00 120.00
Closest atoms and distances in Å follow each position.
Atoms (fractional coordinates):
Sr (0.0000, 0.0000, 0.0000)  6 Cd 3.42, 6 Be 3.42
Be (0.6667, 0.3333, 0.5000)  3 Cd 2.57
Cd (0.3333, 0.6667, 0.5000)  3 Be 2.57

Properties
**Size of the total moment**: 0.0 μB/f.u.
**Symmetry**: P-6m2, No. 187
**Energy above the lowest structure with this stoichiometry**: 0.0 kJ per mole of atoms
**DFT formation energy**: 2.45 kcal/mol of atoms

The following is a DFT calculation (GGA-PBE) of crystalline Ga2Ag5Pd12 at its relaxed geometry.

abc: 7.4168 7.4168 6.4212
angles: 91.44 91.44 62.09
Closest atoms and distances in Å follow each position.
Atoms (fractional coordinates):
Ga (0.2109, 0.7891, 0.0000)  8 Pd 2.58-2.71
Ga (0.7891, 0.2109, 0.0000)  8 Pd 2.58-2.71
Ag (0.1983, 0.1983, 0.9919)  8 Pd 2.76-2.94, 1 Ag 2.85, 2 Ga 2.99
Ag (0.2607, 0.2607, 0.4214)  10 Pd 2.77-2.95, 2 Ag 2.85-3.07
Ag (0.5000, 0.5000, 0.5000)  10 Pd 2.75-2.96, 2 Ag 3.07
Ag (0.7393, 0.7393, 0.5786)  10 Pd 2.77-2.95, 2 Ag 2.85-3.07
Ag (0.8017, 0.8017, 0.0081)  8 Pd 2.76-2.94, 1 Ag 2.85, 2 Ga 2.99
Pd (0.0493, 0.0493, 0.3045)  2 Ga 2.60, 7 Pd 2.68-2.89, 2 Ag 2.77-2.80
Pd (0.0806, 0.6762, 0.3389)  5 Pd 2.68-2.91, 1 Ga 2.71, 4 Ag 2.78-2.92
Pd (0.1575, 0.5364, 0.7554)  1 Ga 2.58, 3 Pd 2.75-2.84, 2 Ag 2.79-2.85
Pd (0.3238, 0.9194, 0.6611)  5 Pd 2.68-2.91, 1 Ga 2.71, 4 Ag 2.78-2.92
Pd (0.4095, 0.4095, 0.1061)  2 Ga 2.59, 5 Pd 2.71-2.77, 3 Ag 2.75-2.81
Pd (0.4636, 0.8425, 0.2446)  1 Ga 2.58, 3 Pd 2.75-2.84, 2 Ag 2.79-2.85
Pd (0.5364, 0.1575, 0.7554)  1 Ga 2.58, 3 Pd 2.75-2.84, 2 Ag 2.79-2.85
Pd (0.5905, 0.5905, 0.8939)  2 Ga 2.59, 5 Pd 2.71-2.77, 3 Ag 2.75-2.81
Pd (0.6762, 0.0806, 0.3389)  5 Pd 2.68-2.91, 1 Ga 2.71, 4 Ag 2.78-2.92
Pd (0.8425, 0.4636, 0.2446)  1 Ga 2.58, 3 Pd 2.75-2.84, 2 Ag 2.79-2.85
Pd (0.9194, 0.3238, 0.6611)  5 Pd 2.68-2.91, 1 Ga 2.71, 4 Ag 2.78-2.92
Pd (0.9507, 0.9507, 0.6955)  2 Ga 2.60, 7 Pd 2.68-2.89, 2 Ag 2.77-2.80

Properties
**Size of the total moment**: 0.0 μB/f.u.
**Symmetry**: C2/m, No. 12
**DFT formation energy**: -2.93 kcal/mol of atoms

The following is a DFT calculation (GGA-PBE) of crystalline Ag3BiBr6 at its relaxed geometry.

abc: 7.3901 7.2552 13.3242
angles: 90.00 122.64 90.00
Closest atoms and distances in Å follow each position.
Atoms (fractional coordinates):
Ag (0.0000, 0.0000, 0.0000)  4 Br 2.74-2.93
Ag (0.0000, 0.5000, 0.5000)  4 Br 2.74-2.93
Ag (0.2224, 0.0243, 0.7433)  4 Br 2.75-2.83
Ag (0.2224, 0.4757, 0.2433)  4 Br 2.75-2.83
Ag (0.7776, 0.5243, 0.7567)  4 Br 2.75-2.83
Ag (0.7776, 0.9757, 0.2567)  4 Br 2.75-2.83
Bi (0.5000, 0.0000, 0.5000)  6 Br 2.88-2.94
Bi (0.5000, 0.5000, 0.0000)  6 Br 2.88-2.94
Br (0.1416, 0.1101, 0.2618)  2 Ag 2.76-2.83, 1 Bi 2.94
Br (0.1416, 0.3899, 0.7618)  2 Ag 2.76-2.83, 1 Bi 2.94
Br (0.2215, 0.6739, 0.0637)  2 Ag 2.74-2.79, 1 Bi 2.90
Br (0.2215, 0.8261, 0.5637)  2 Ag 2.74-2.79, 1 Bi 2.90
Br (0.4213, 0.1642, 0.0851)  2 Ag 2.75-2.93, 1 Bi 2.88
Br (0.4213, 0.3358, 0.5851)  2 Ag 2.75-2.93, 1 Bi 2.88
Br (0.5787, 0.6642, 0.4149)  2 Ag 2.75-2.93, 1 Bi 2.88
Br (0.5787, 0.8358, 0.9149)  2 Ag 2.75-2.93, 1 Bi 2.88
Br (0.7785, 0.1739, 0.4363)  2 Ag 2.74-2.79, 1 Bi 2.90
Br (0.7785, 0.3261, 0.9363)  2 Ag 2.74-2.79, 1 Bi 2.90
Br (0.8584, 0.6101, 0.2382)  2 Ag 2.76-2.83, 1 Bi 2.94
Br (0.8584, 0.8899, 0.7382)  2 Ag 2.76-2.83, 1 Bi 2.94

Properties
**Size of the total moment**: 0.0 μB/f.u.
**Symmetry**: P2_1/c, No. 14
**Formation energy (no corrections)**: -0.460 eV per atom
**Energy above the lowest structure with this stoichiometry**: 0.0 kJ per mole of atoms

The following is a DFT calculation (GGA-PBE) of crystalline Ac4Tl5Sn2 at its relaxed geometry.

abc: 8.3507 4.7785 9.4933
angles: 90.00 91.25 90.00
Closest atoms and distances in Å follow each position.
Atoms (fractional coordinates):
Ac (0.2164, 0.0000, 0.3681)  2 Sn 3.43, 8 Tl 3.49-3.76
Ac (0.2365, 0.0000, 0.8919)  4 Sn 3.52-3.64, 6 Tl 3.54-3.94
Ac (0.7635, 0.0000, 0.1081)  4 Sn 3.52-3.64, 6 Tl 3.54-3.94
Ac (0.7836, 0.0000, 0.6319)  2 Sn 3.43, 8 Tl 3.49-3.76
Tl (0.1313, 0.5000, 0.6236)  1 Sn 3.02, 2 Tl 3.18-3.32
Tl (0.4580, 0.5000, 0.1621)  1 Sn 3.07, 2 Tl 3.17-3.22
Tl (0.5000, 0.5000, 0.5000)  4 Tl 3.22-3.32, 4 Ac 3.57
Tl (0.5420, 0.5000, 0.8379)  1 Sn 3.07, 2 Tl 3.17-3.22
Tl (0.8687, 0.5000, 0.3764)  1 Sn 3.02, 2 Tl 3.18-3.32
Sn (0.0918, 0.5000, 0.1305)  1 Sn 2.89, 2 Tl 3.02-3.07
Sn (0.9082, 0.5000, 0.8695)  1 Sn 2.89, 2 Tl 3.02-3.07

Properties
**Size of the total moment**: 0.0 μB/f.u.
**Symmetry**: P2/m, No. 10
**DFT formation energy**: -9.41 kcal/mol of atoms

The following is a DFT calculation (GGA-PBE) of crystalline Pm3Cd4Pb2 at its relaxed geometry.

abc: 6.3533 6.3533 9.3964
angles: 111.78 111.78 45.32
Closest atoms and distances in Å follow each position.
Atoms (fractional coordinates):
Pm (0.0000, 0.0000, 0.0000)  8 Cd 3.27-3.66, 4 Pb 3.45
Pm (0.3234, 0.3234, 0.3442)  4 Cd 3.24-3.40, 3 Pb 3.31-3.33
Pm (0.6766, 0.6766, 0.6558)  4 Cd 3.24-3.40, 3 Pb 3.31-3.33
Cd (0.0074, 0.0074, 0.3534)  2 Cd 2.83-3.13, 2 Pb 2.97
Cd (0.2511, 0.2511, 0.9293)  2 Cd 2.79, 1 Pb 2.96
Cd (0.7489, 0.7489, 0.0707)  2 Cd 2.79, 1 Pb 2.96
Cd (0.9926, 0.9926, 0.6466)  2 Cd 2.83-3.13, 2 Pb 2.97
Pb (0.3839, 0.3839, 0.7199)  3 Cd 2.96-2.97, 1 Pm 3.31
Pb (0.6161, 0.6161, 0.2801)  3 Cd 2.96-2.97, 1 Pm 3.31

Properties
**Size of the total moment**: 0.0 μB/f.u.
**Symmetry**: C2/m, No. 12
**DFT formation energy**: -8.88 kcal/mol of atoms

The following is a DFT calculation (GGA-PBE) of crystalline Dy3Zn9Rh2 at its relaxed geometry.

abc: 8.0483 8.0483 8.0483
angles: 148.69 111.46 77.28
Closest atoms and distances in Å follow each position.
Atoms (fractional coordinates):
Dy (0.0000, 0.0000, 0.0000)  12 Zn 2.99-3.24
Dy (0.3077, 0.3077, 0.0000)  2 Rh 2.93, 10 Zn 3.07-3.25
Dy (0.6923, 0.6923, 0.0000)  2 Rh 2.93, 10 Zn 3.07-3.25
Zn (0.0233, 0.6628, 0.3604)  4 Zn 2.53-2.74, 1 Rh 2.61
Zn (0.1508, 0.8724, 0.2784)  4 Zn 2.55-2.74, 2 Rh 2.72
Zn (0.3024, 0.6628, 0.6396)  4 Zn 2.53-2.74, 1 Rh 2.61
Zn (0.4060, 0.1276, 0.2784)  4 Zn 2.55-2.74, 2 Rh 2.72
Zn (0.5000, 0.0000, 0.5000)  4 Zn 2.57, 4 Rh 2.73
Zn (0.5940, 0.8724, 0.7216)  4 Zn 2.55-2.74, 2 Rh 2.72
Zn (0.6976, 0.3372, 0.3604)  4 Zn 2.53-2.74, 1 Rh 2.61
Zn (0.8492, 0.1276, 0.7216)  4 Zn 2.55-2.74, 2 Rh 2.72
Zn (0.9767, 0.3372, 0.6396)  4 Zn 2.53-2.74, 1 Rh 2.61
Rh (0.3180, 0.5000, 0.8180)  8 Zn 2.61-2.73
Rh (0.6820, 0.5000, 0.1820)  8 Zn 2.61-2.73

Properties
**Size of the total moment**: 0.0 μB/f.u.
**Symmetry**: Immm, No. 71
**DFT formation energy**: -10.16 kcal/mol of atoms

The following is a DFT calculation (GGA-PBE) of crystalline ZrReW2 at its relaxed geometry.

abc: 5.9391 5.9391 5.9391
angles: 102.15 102.15 125.38
Closest atoms and distances in Å follow each position.
Atoms (fractional coordinates):
Zr (0.0000, 0.0000, 0.0000)  2 Re 2.72, 4 W 2.92
Zr (0.7500, 0.2500, 0.5000)  2 Re 2.72, 4 W 2.92
Re (0.2500, 0.7500, 0.5000)  4 W 2.55, 2 Zr 2.72
Re (0.5000, 0.5000, 0.0000)  4 W 2.55, 2 Zr 2.72
W (0.1613, 0.6250, 0.0363)  2 Re 2.55, 2 W 2.78
W (0.3750, 0.4113, 0.5363)  2 Re 2.55, 2 W 2.78
W (0.5887, 0.1250, 0.9637)  2 Re 2.55, 2 W 2.78
W (0.8750, 0.8387, 0.4637)  2 Re 2.55, 2 W 2.78

Properties
**Size of the total moment**: 0.0 μB/f.u.
**Symmetry**: I-42d, No. 122
**Energy above the lowest structure with this stoichiometry**: 76.3 kJ per mole of atoms
**DFT formation energy**: 16.96 kcal/mol of atoms

The following is a DFT calculation (GGA-PBE) of crystalline Pu2ReSi3 at its relaxed geometry.

abc: 5.1415 5.1415 5.1415
angles: 63.15 63.15 63.15
Closest atoms and distances in Å follow each position.
Atoms (fractional coordinates):
Pu (0.1185, 0.1185, 0.1185)  1 Pu 2.91, 9 Si 3.06, 3 Re 3.16
Pu (0.8815, 0.8815, 0.8815)  1 Pu 2.91, 9 Si 3.06, 3 Re 3.16
Re (0.5000, 0.5000, 0.5000)  6 Si 2.57
Si (0.0000, 0.5000, 0.5000)  2 Re 2.57, 4 Si 2.69
Si (0.5000, 0.0000, 0.5000)  2 Re 2.57, 4 Si 2.69
Si (0.5000, 0.5000, 0.0000)  2 Re 2.57, 4 Si 2.69

Properties
**Size of the total moment**: 10.0 μB/f.u.
**Symmetry**: R-3m, No. 166
**Formation energy (no corrections)**: -0.373 eV per atom